Entry from the Alexandria database: an optimized crystal structure of LaSc2Cu (GGA-PBE).

Space group   R3m, No. 160
N(E_F)   1.356 states/eV per atom
Energy relative to the elements   0.075 eV/atom

abc: 9.662 9.662 9.662
angles: 20.89 20.89 20.89
Sites, in units of the cell vectors:
1 La 0.000 0.000 0.000
2 Sc 0.232 0.232 0.232
3 Sc 0.440 0.440 0.440
4 Cu 0.836 0.836 0.836